Material: Co2IrF
Method: DFT, GGA+U
State: relaxed

a = 6.0415 Å, b = 6.0415 Å, c = 5.2407 Å
α = 54.80°, β = 54.80°, γ = 90.00°
Closest atoms and distances in Å follow each position.
Fractional positions:
Co 0.8750 0.8248 0.7500  2 F 2.08
Co 0.1752 0.6250 0.2500  2 F 2.08
Co 0.5748 0.1250 0.2500  2 F 2.08
Co 0.3750 0.4252 0.7500  2 F 2.08
Ir 0.7500 0.2500 0.5000  4 Co 2.48
Ir 0.0000 0.0000 0.0000  4 Co 2.48
F 0.5000 0.5000 0.0000  4 Co 2.08
F 0.2500 0.7500 0.5000  4 Co 2.08

Computed properties:
D(E_F) (states/eV per atom): 0.39
Density (g cm⁻³): 9.864
Size of the total moment (μB per atom): 1.456
Energy (eV per atom): -5.07